Record 1
# YCu

YCu after structural relaxation (PBE-GGA, Alexandria).

Cell: 8.4405 8.4405 4.8993 Å, 90.00 90.00 90.00°
Last column: nearest neighbours and their distance in Å.
Fractional coordinates of all 16 atoms:
Cu 0.1535 0.8465 0.0000  2 Cu 2.59
Cu 0.6535 0.6535 0.5000  2 Cu 2.59
Cu 0.3465 0.6535 0.5000  2 Cu 2.59
Cu 0.8465 0.1535 0.0000  2 Cu 2.59
Cu 0.6535 0.3465 0.5000  2 Cu 2.59
Cu 0.1535 0.1535 0.0000  2 Cu 2.59
Cu 0.8465 0.8465 0.0000  2 Cu 2.59
Cu 0.3465 0.3465 0.5000  2 Cu 2.59
Y 0.7115 0.0000 0.5000  6 Cu 2.97-3.00
Y 0.2885 0.0000 0.5000  6 Cu 2.97-3.00
Y 0.0000 0.7115 0.5000  6 Cu 2.97-3.00
Y 0.0000 0.2885 0.5000  6 Cu 2.97-3.00
Y 0.2115 0.5000 0.0000  6 Cu 2.97-3.00
Y 0.7885 0.5000 0.0000  6 Cu 2.97-3.00
Y 0.5000 0.7885 0.0000  6 Cu 2.97-3.00
Y 0.5000 0.2115 0.0000  6 Cu 2.97-3.00

N(E_F) in states/eV/cell: 16.946
Calculated density in Mg/m³: 5.8
Energy of formation from the pure elements in eV/atom: -0.1110
Size of the total moment in μB per formula unit: 0.00

=====

Record 2
# AlGe3Br

AlGe3Br after structural relaxation (PBE-GGA, Alexandria).

Cell: 5.0122 5.0122 5.0122 Å, 90.00 90.00 90.00°
Last column: nearest neighbours and their distance in Å.
Fractional coordinates of all 5 atoms:
Br 0.5000 0.5000 0.5000  12 Ge 3.54
Ge 0.0000 0.5000 0.0000  2 Al 2.51
Ge 0.0000 0.0000 0.5000  2 Al 2.51
Ge 0.5000 0.0000 0.0000  2 Al 2.51
Al 0.0000 0.0000 0.0000  6 Ge 2.51

Raw formation energy in eV/atom: 0.536
N(E_F) in states/eV/cell: 4.326
Calculated density in Mg/m³: 4.3
Size of the total moment in μB per formula unit: 0.53